Computed, not measured: an optimized crystal structure of RbPr3 at the PBE level of DFT.

Summary:
Calculated volume: 162.5 Å³/cell
Magnetic moment: 0.00 μB/atom
Final energy: -3.3230 eV per atom
E_form: 0.50 eV per atom

Unit cell a=6.7152 b=6.7152 c=6.7152 alpha=132.29 beta=132.29 gamma=69.78
Fractional coordinates of all 4 atoms:
Rb (0.0000, 0.0000, 0.0000)
Pr (0.2500, 0.7500, 0.5000)
Pr (0.5000, 0.5000, 0.0000)
Pr (0.7500, 0.2500, 0.5000)



Computed, not measured: an optimized crystal structure of RbPr4 at the PBE level of DFT.

Summary:
Calculated volume: 199.4 Å³/cell
Magnetic moment: 0.00 μB/atom
Final energy: -3.0097 eV per atom
E_form: 1.01 eV per atom

Unit cell a=5.8418 b=5.8418 c=5.8418 alpha=90.00 beta=90.00 gamma=90.00
Fractional coordinates of all 5 atoms:
Rb (0.0000, 0.0000, 0.0000)
Pr (0.0000, 0.0000, 0.5000)
Pr (0.0000, 0.5000, 0.0000)
Pr (0.5000, 0.0000, 0.0000)
Pr (0.5000, 0.5000, 0.5000)



Computed, not measured: an optimized crystal structure of RbPr2S3 at the PBE level of DFT.

Summary:
Calculated volume: 337.2 Å³/cell
Magnetic moment: 0.00 μB/atom
Final energy: -5.6904 eV per atom

Unit cell a=4.1770 b=4.1770 c=22.3151 alpha=90.00 beta=90.00 gamma=120.00
Fractional coordinates of all 12 atoms:
Rb (0.0000, 0.0000, 0.2500)
Rb (0.0000, 0.0000, 0.7500)
Pr (0.3333, 0.6667, 0.0761)
Pr (0.3333, 0.6667, 0.4239)
Pr (0.6667, 0.3333, 0.5761)
Pr (0.6667, 0.3333, 0.9239)
S (0.0000, 0.0000, 0.0000)
S (0.0000, 0.0000, 0.5000)
S (0.3333, 0.6667, 0.6456)
S (0.3333, 0.6667, 0.8544)
S (0.6667, 0.3333, 0.1456)
S (0.6667, 0.3333, 0.3544)



Computed, not measured: an optimized crystal structure of Rb2PrS10 at the PBE level of DFT.

Summary:
Calculated volume: 829.2 Å³/cell
Magnetic moment: 0.00 μB/atom
Final energy: -4.1763 eV per atom

Unit cell a=6.4726 b=25.0797 c=5.1082 alpha=90.00 beta=90.00 gamma=90.00
Fractional coordinates of all 26 atoms:
Rb (0.0364, 0.1329, 0.0000)
Rb (0.4636, 0.6329, 0.0000)
Rb (0.5364, 0.3671, 0.0000)
Rb (0.9636, 0.8671, 0.0000)
Pr (0.0000, 0.5000, 0.5000)
Pr (0.5000, 0.0000, 0.5000)
S (0.0379, 0.4028, 0.1999)
S (0.0379, 0.4028, 0.8001)
S (0.0835, 0.0348, 0.5000)
S (0.1586, 0.7123, 0.5000)
S (0.2349, 0.7867, 0.5000)
S (0.2651, 0.2867, 0.5000)
S (0.3414, 0.2123, 0.5000)
S (0.4165, 0.5348, 0.5000)
S (0.4621, 0.9028, 0.1999)
S (0.4621, 0.9028, 0.8001)
S (0.5379, 0.0972, 0.1999)
S (0.5379, 0.0972, 0.8001)
S (0.5835, 0.4652, 0.5000)
S (0.6586, 0.7877, 0.5000)
S (0.7349, 0.7133, 0.5000)
S (0.7651, 0.2133, 0.5000)
S (0.8414, 0.2877, 0.5000)
S (0.9165, 0.9652, 0.5000)
S (0.9621, 0.5972, 0.1999)
S (0.9621, 0.5972, 0.8001)



Computed, not measured: an optimized crystal structure of RbPrS at the PBE level of DFT.

Summary:
Calculated volume: 288.2 Å³/cell
Magnetic moment: 0.00 μB/atom
Final energy: -4.3176 eV per atom

Unit cell a=4.7565 b=4.7565 c=14.3720 alpha=94.48 beta=94.48 gamma=62.89
Fractional coordinates of all 6 atoms:
Rb (0.2421, 0.2421, 0.3480)
Rb (0.7579, 0.7579, 0.6520)
Pr (0.1591, 0.1591, 0.9078)
Pr (0.8409, 0.8409, 0.0922)
S (0.1868, 0.1868, 0.1064)
S (0.8132, 0.8132, 0.8936)



Computed, not measured: an optimized crystal structure of Rb2PrSb2S6 at the PBE level of DFT.

Summary:
Calculated volume: 367.6 Å³/cell
Magnetic moment: 0.00 μB/atom
Final energy: -4.4631 eV per atom

Unit cell a=7.2329 b=7.2329 c=8.8547 alpha=112.72 beta=112.72 gamma=62.88
Fractional coordinates of all 11 atoms:
Rb (0.1983, 0.1983, 0.1662)
Rb (0.8017, 0.8017, 0.8338)
Pr (0.0000, 0.0000, 0.5000)
Sb (0.4472, 0.4472, 0.7985)
Sb (0.5528, 0.5528, 0.2015)
S (0.1860, 0.7004, 0.2203)
S (0.2458, 0.2458, 0.5685)
S (0.2996, 0.8140, 0.7797)
S (0.7004, 0.1860, 0.2203)
S (0.7542, 0.7542, 0.4315)
S (0.8140, 0.2996, 0.7797)



Computed, not measured: an optimized crystal structure of Rb3PrSc2S6 at the PBE level of DFT.

Summary:
Calculated volume: 318.8 Å³/cell
Magnetic moment: 0.00 μB/atom
Final energy: -5.4870 eV per atom

Unit cell a=6.9343 b=6.9343 c=8.0006 alpha=98.34 beta=98.34 gamma=120.00
Fractional coordinates of all 12 atoms:
Rb (0.0000, 0.0000, 0.0000)
Rb (0.3367, 0.6633, 0.0000)
Rb (0.6633, 0.3367, 0.0000)
Pr (0.5000, 0.5000, 0.5000)
Sc (0.1669, 0.8330, 0.5000)
Sc (0.8330, 0.1669, 0.5000)
S (0.0813, 0.4372, 0.3121)
S (0.2066, 0.2066, 0.6869)
S (0.4372, 0.0813, 0.3121)
S (0.5628, 0.9187, 0.6879)
S (0.7934, 0.7934, 0.3131)
S (0.9187, 0.5628, 0.6879)



Computed, not measured: an optimized crystal structure of Rb3Pr2ScS6 at the PBE level of DFT.

Summary:
Calculated volume: 341.7 Å³/cell
Magnetic moment: 0.00 μB/atom
Final energy: -5.3921 eV per atom

Unit cell a=7.1605 b=7.1605 c=8.0597 alpha=98.54 beta=98.54 gamma=120.00
Fractional coordinates of all 12 atoms:
Rb (0.0000, 0.0000, 0.0000)
Rb (0.3314, 0.6686, 0.0000)
Rb (0.6686, 0.3314, 0.0000)
Pr (0.1665, 0.8335, 0.5000)
Pr (0.8335, 0.1665, 0.5000)
Sc (0.5000, 0.5000, 0.5000)
S (0.1240, 0.4357, 0.3075)
S (0.2529, 0.2529, 0.6930)
S (0.4357, 0.1240, 0.3075)
S (0.5643, 0.8760, 0.6925)
S (0.7471, 0.7471, 0.3070)
S (0.8760, 0.5643, 0.6925)



Computed, not measured: an optimized crystal structure of RbPrSc4S8 at the PBE level of DFT.

Summary:
Calculated volume: 363.0 Å³/cell
Magnetic moment: 0.00 μB/atom
Final energy: -6.2996 eV per atom

Unit cell a=8.2068 b=8.2068 c=8.2068 alpha=56.91 beta=56.91 gamma=56.91
Fractional coordinates of all 14 atoms:
Rb (0.0000, 0.0000, 0.0000)
Pr (0.3566, 0.3566, 0.3566)
Sc (0.3578, 0.3578, 0.8768)
Sc (0.3578, 0.8768, 0.3578)
Sc (0.7348, 0.7348, 0.7348)
Sc (0.8768, 0.3578, 0.3578)
S (0.1131, 0.1131, 0.5598)
S (0.1131, 0.5598, 0.1131)
S (0.1216, 0.6131, 0.6131)
S (0.1374, 0.1374, 0.1374)
S (0.5598, 0.1131, 0.1131)
S (0.6049, 0.6049, 0.6049)
S (0.6131, 0.1216, 0.6131)
S (0.6131, 0.6131, 0.1216)



Computed, not measured: an optimized crystal structure of Rb2PrScS4 at the PBE level of DFT.

Summary:
Calculated volume: 220.6 Å³/cell
Magnetic moment: 0.00 μB/atom
Final energy: -5.4279 eV per atom

Unit cell a=7.0493 b=4.0753 c=8.0279 alpha=90.00 beta=107.00 gamma=90.00
Fractional coordinates of all 8 atoms:
Rb (0.0000, 0.0000, 0.0000)
Rb (0.5000, 0.5000, 0.0000)
Pr (0.0000, 0.5000, 0.5000)
Sc (0.5000, 0.0000, 0.5000)
S (0.2527, 0.0000, 0.6941)
S (0.2897, 0.5000, 0.3137)
S (0.7103, 0.5000, 0.6863)
S (0.7473, 0.0000, 0.3059)



Computed, not measured: an optimized crystal structure of RbPrSeS at the PBE level of DFT.

Summary:
Calculated volume: 129.3 Å³/cell
Magnetic moment: 0.00 μB/atom
Final energy: -5.0818 eV per atom

Unit cell a=8.4234 b=8.4234 c=8.4234 alpha=29.63 beta=29.63 gamma=29.63
Fractional coordinates of all 4 atoms:
Rb (0.0000, 0.0000, 0.0000)
Pr (0.1649, 0.1649, 0.1649)
Se (0.5687, 0.5687, 0.5687)
S (0.7696, 0.7696, 0.7696)



Computed, not measured: an optimized crystal structure of RbPrSiS4 at the PBE level of DFT.

Summary:
Calculated volume: 385.3 Å³/cell
Magnetic moment: 0.00 μB/atom
Final energy: -5.3918 eV per atom

Unit cell a=6.5928 b=6.6862 c=9.1591 alpha=90.00 beta=107.40 gamma=90.00
Fractional coordinates of all 14 atoms:
Rb (0.2242, 0.2500, 0.4338)
Rb (0.7758, 0.7500, 0.5662)
Pr (0.2699, 0.2500, 0.9512)
Pr (0.7301, 0.7500, 0.0488)
Si (0.2849, 0.7500, 0.1747)
Si (0.7151, 0.2500, 0.8253)
S (0.0910, 0.7500, 0.3212)
S (0.1001, 0.7500, 0.9392)
S (0.4977, 0.9996, 0.2120)
S (0.4977, 0.5004, 0.2120)
S (0.5023, 0.0004, 0.7880)
S (0.5023, 0.4996, 0.7880)
S (0.8999, 0.2500, 0.0608)
S (0.9090, 0.2500, 0.6788)



Question: Which formula does entry 4 have?
Answer: Rb2PrS10



Question: The lowest final energy belongs to which entry?
Answer: RbPrSc4S8